DFT (GGA-PBE) results for a relaxed structure of SrBiI2.

Cell and atoms, written as POSCAR:
```
SrBiI2
1.0
9.169 0.000 0.000
0.000 9.169 0.000
4.585 4.585 3.845
Sr Bi I
2 2 4
Cartesian
4.585 4.585 0.000
4.585 9.169 1.922
9.169 4.585 1.922
0.000 0.000 0.000
6.791 2.292 0.961
6.877 6.963 2.884
11.462 11.376 2.884
2.378 6.877 0.961
```

As for the space group: No. 122. The size of the total moment is 0.0 μB/f.u. For the uncorrected formation energy, the calculation gives -0.607 eV per atom. For the relative energy among the computed polymorphs, the calculation gives 0.00 eV/f.u.